(1)
A plane-wave DFT calculation with GGA-PBE was carried out for an optimized crystal structure of ZrTlCu.

Properties
The magnetization is 0.00 Bohr magnetons per cell. Its space-group type is Imm2 (44). For the formation energy, the calculation gives 0.222 eV per atom.

Cell: 5.0917 5.0917 5.0917 Å, 143.04 129.23 64.44°
Atoms (fractional coordinates):
Zr: 0.0000 0.0000 0.0000
Tl: 0.3338 0.3338 0.0000
Cu: 0.6604 0.6604 0.0000

(2)
A plane-wave DFT calculation with GGA-PBE was carried out for an optimized crystal structure of NbAsP2.

Properties
The magnetization is 0.43 Bohr magnetons per cell. Its space-group type is I-42d (122). For the formation energy, the calculation gives 0.163 eV per atom.

Cell: 6.7383 6.7383 6.7383 Å, 129.30 129.30 74.53°
Atoms (fractional coordinates):
Nb: 0.0000 0.0000 0.0000
Nb: 0.7500 0.2500 0.5000
As: 0.2500 0.7500 0.5000
As: 0.5000 0.5000 0.0000
P: 0.1218 0.6250 0.9968
P: 0.3750 0.3718 0.4968
P: 0.6282 0.1250 0.0032
P: 0.8750 0.8782 0.5032

(3)
A plane-wave DFT calculation with GGA-PBE was carried out for an optimized crystal structure of CsSi3Pb.

Properties
The magnetization is 0.00 Bohr magnetons per cell. As for the uncorrected formation energy: 2009 meV/atom. For the polymorph energy (0 for the lowest one), the calculation gives 0.914 eV per atom. Its space-group type is Pm-3m (221).

Cell: 5.5757 5.5757 5.5757 Å, 90.00 90.00 90.00°
Atoms (fractional coordinates):
Cs: 0.0000 0.0000 0.0000
Si: 0.0000 0.0000 0.5000
Si: 0.0000 0.5000 0.0000
Si: 0.5000 0.0000 0.0000
Pb: 0.5000 0.5000 0.5000

(4)
A plane-wave DFT calculation with GGA-PBE was carried out for an optimized crystal structure of NdScAl2.

Properties
The magnetization is 0.00 Bohr magnetons per cell. For the polymorph energy (0 for the lowest one), the calculation gives 0.000 eV per atom. Its space-group type is P4/mmm (123). For the formation energy, the calculation gives -0.400 eV per atom.

Cell: 3.5578 3.5578 7.1012 Å, 90.00 90.00 90.00°
Atoms (fractional coordinates):
Nd: 0.0000 0.0000 0.0000
Sc: 0.0000 0.0000 0.5000
Al: 0.5000 0.5000 0.2854
Al: 0.5000 0.5000 0.7146

(5)
A plane-wave DFT calculation with GGA-PBE was carried out for an optimized crystal structure of PmHo2Ir2.

Properties
The magnetization is 0.00 Bohr magnetons per cell. For the polymorph energy (0 for the lowest one), the calculation gives 0.000 eV per atom. Its space-group type is P-3m1 (164). For the formation energy, the calculation gives -0.732 eV per atom.

Cell: 4.8189 4.8189 6.0227 Å, 90.00 90.00 120.00°
Atoms (fractional coordinates):
Pm: 0.0000 0.0000 0.0000
Ho: 0.3333 0.6667 0.6613
Ho: 0.6667 0.3333 0.3387
Ir: 0.3333 0.6667 0.1785
Ir: 0.6667 0.3333 0.8215

(6)
A plane-wave DFT calculation with GGA-PBE was carried out for an optimized crystal structure of PuHg3Pd.

Properties
The magnetization is 11.70 Bohr magnetons per cell. Its space-group type is R3c (161). For the formation energy, the calculation gives -0.026 eV per atom.

Cell: 6.7584 6.7584 6.7584 Å, 67.96 67.96 67.96°
Atoms (fractional coordinates):
Pu: 0.0000 0.0000 0.0000
Pu: 0.5000 0.5000 0.5000
Hg: 0.1261 0.9707 0.4450
Hg: 0.4450 0.1261 0.9707
Hg: 0.4707 0.6261 0.9450
Hg: 0.6261 0.9450 0.4707
Hg: 0.9450 0.4707 0.6261
Hg: 0.9707 0.4450 0.1261
Pd: 0.3216 0.3216 0.3216
Pd: 0.8216 0.8216 0.8216

(7)
A plane-wave DFT calculation with GGA-PBE was carried out for an optimized crystal structure of ZnIr4Pb.

Properties
The magnetization is 0.00 Bohr magnetons per cell. Its space-group type is F-43m (216). For the formation energy, the calculation gives 0.416 eV per atom.

Cell: 5.3096 5.3096 5.3096 Å, 60.00 60.00 60.00°
Atoms (fractional coordinates):
Zn: 0.0000 0.0000 0.0000
Ir: 0.1241 0.6253 0.6253
Ir: 0.6253 0.1241 0.6253
Ir: 0.6253 0.6253 0.1241
Ir: 0.6253 0.6253 0.6253
Pb: 0.2500 0.2500 0.2500

(8)
A plane-wave DFT calculation with GGA-PBE was carried out for an optimized crystal structure of MnBiIr3.

Properties
The magnetization is 0.00 Bohr magnetons per cell. For the polymorph energy (0 for the lowest one), the calculation gives 0.000 eV per atom. Its space-group type is Pm-3m (221). For the formation energy, the calculation gives 1.074 eV per atom.

Cell: 4.5594 4.5594 4.5594 Å, 90.00 90.00 90.00°
Atoms (fractional coordinates):
Mn: 0.0000 0.0000 0.0000
Bi: 0.5000 0.5000 0.5000
Ir: 0.0000 0.0000 0.5000
Ir: 0.0000 0.5000 0.0000
Ir: 0.5000 0.0000 0.0000

(9)
A plane-wave DFT calculation with GGA-PBE was carried out for an optimized crystal structure of Pr8GeRh2.

Properties
The magnetization is 0.00 Bohr magnetons per cell. Its space-group type is Cm (8). For the formation energy, the calculation gives -0.324 eV per atom.

Cell: 7.8343 7.8343 6.5249 Å, 101.13 101.13 114.06°
Atoms (fractional coordinates):
Pr: 0.0000 0.0000 0.0000
Pr: 0.0146 0.2804 0.5927
Pr: 0.1534 0.5722 0.2004
Pr: 0.2804 0.0146 0.5927
Pr: 0.4459 0.7128 0.8112
Pr: 0.5722 0.1534 0.2004
Pr: 0.7128 0.4459 0.8112
Pr: 0.7141 0.7141 0.3821
Ge: 0.3590 0.3590 0.9912
Rh: 0.0528 0.6761 0.6921
Rh: 0.6761 0.0528 0.6921

(10)
A plane-wave DFT calculation with GGA-PBE was carried out for an optimized crystal structure of TlSeF.

Properties
The magnetization is 0.00 Bohr magnetons per cell. As for the uncorrected formation energy: -1044 meV/atom. For the polymorph energy (0 for the lowest one), the calculation gives 0.070 eV per atom. Its space-group type is Cm (8).

Cell: 5.6402 5.6402 8.3607 Å, 104.26 104.26 36.94°
Atoms (fractional coordinates):
Tl: 0.0000 0.0000 0.0000
Tl: 0.6994 0.6994 0.6744
Se: 0.3116 0.3116 0.2118
Se: 0.8930 0.8930 0.4152
F: 0.3753 0.3753 0.7665
F: 0.7167 0.7167 0.9954

(11)
A plane-wave DFT calculation with GGA-PBE was carried out for an optimized crystal structure of AlTlW3.

Properties
The magnetization is 0.00 Bohr magnetons per cell. For the polymorph energy (0 for the lowest one), the calculation gives 0.000 eV per atom. Its space-group type is Pm-3m (221). For the formation energy, the calculation gives 1.887 eV per atom.

Cell: 4.6095 4.6095 4.6095 Å, 90.00 90.00 90.00°
Atoms (fractional coordinates):
Al: 0.0000 0.0000 0.0000
Tl: 0.5000 0.5000 0.5000
W: 0.0000 0.0000 0.5000
W: 0.0000 0.5000 0.0000
W: 0.5000 0.0000 0.0000

(12)
A plane-wave DFT calculation with GGA-PBE was carried out for an optimized crystal structure of CaPrHoZn.

Properties
The magnetization is 0.00 Bohr magnetons per cell. Its space-group type is P4mm (99). For the formation energy, the calculation gives -0.131 eV per atom.

Cell: 3.5941 3.5941 9.2618 Å, 90.00 90.00 90.00°
Atoms (fractional coordinates):
Ca: 0.0000 0.0000 0.0000
Pr: 0.5000 0.5000 0.6710
Ho: 0.0000 0.0000 0.3932
Zn: 0.5000 0.5000 0.2120

(13)
A plane-wave DFT calculation with GGA-PBE was carried out for an optimized crystal structure of UAl2Ag.

Properties
The magnetization is 0.75 Bohr magnetons per cell. For the polymorph energy (0 for the lowest one), the calculation gives 0.000 eV per atom. Its space-group type is P4/mmm (123). For the formation energy, the calculation gives -0.090 eV per atom.

Cell: 2.8285 2.8285 8.8512 Å, 90.00 90.00 90.00°
Atoms (fractional coordinates):
U: 0.0000 0.0000 0.0000
Al: 0.5000 0.5000 0.2654
Al: 0.5000 0.5000 0.7346
Ag: 0.0000 0.0000 0.5000

(14)
A plane-wave DFT calculation with GGA-PBE was carried out for an optimized crystal structure of PuNbVFe.

Properties
The magnetization is 2.65 Bohr magnetons per cell. Its space-group type is F-43m (216). For the formation energy, the calculation gives 0.180 eV per atom.

Cell: 4.5215 4.5215 4.5215 Å, 60.00 60.00 60.00°
Atoms (fractional coordinates):
Pu: 0.0000 0.0000 0.0000
Nb: 0.5000 0.5000 0.5000
V: 0.7500 0.7500 0.7500
Fe: 0.2500 0.2500 0.2500

(15)
A plane-wave DFT calculation with GGA-PBE was carried out for an optimized crystal structure of MgTl2Os.

Properties
The magnetization is 0.00 Bohr magnetons per cell. For the polymorph energy (0 for the lowest one), the calculation gives 0.072 eV per atom. Its space-group type is R3m (160). For the formation energy, the calculation gives 0.541 eV per atom.

Cell: 10.2653 10.2653 10.2653 Å, 17.68 17.68 17.68°
Atoms (fractional coordinates):
Mg: 0.0000 0.0000 0.0000
Tl: 0.2406 0.2406 0.2406
Tl: 0.4752 0.4752 0.4752
Os: 0.7325 0.7325 0.7325

(16)
A plane-wave DFT calculation with GGA-PBE was carried out for an optimized crystal structure of Pm8Si3PtI4.

Properties
The magnetization is 0.00 Bohr magnetons per cell. As for the uncorrected formation energy: -955 meV/atom. Its space-group type is R-3m (166).

Cell: 9.1061 9.1061 9.1061 Å, 56.55 56.55 56.55°
Atoms (fractional coordinates):
Pm: 0.2328 0.2328 0.2328
Pm: 0.2355 0.7300 0.7300
Pm: 0.2700 0.2700 0.7645
Pm: 0.2700 0.7645 0.2700
Pm: 0.7300 0.2355 0.7300
Pm: 0.7300 0.7300 0.2355
Pm: 0.7645 0.2700 0.2700
Pm: 0.7672 0.7672 0.7672
Si: 0.0000 0.0000 0.5000
Si: 0.0000 0.5000 0.0000
Si: 0.5000 0.0000 0.0000
Pt: 0.5000 0.5000 0.5000
I: 0.0000 0.0000 0.0000
I: 0.0000 0.5000 0.5000
I: 0.5000 0.0000 0.5000
I: 0.5000 0.5000 0.0000

(17)
A plane-wave DFT calculation with GGA-PBE was carried out for an optimized crystal structure of Sr3Ga9Ni2.

Properties
The magnetization is 0.00 Bohr magnetons per cell. Its space-group type is Immm (71). For the formation energy, the calculation gives -0.402 eV per atom.

Cell: 8.4873 8.4873 8.4873 Å, 150.63 102.97 84.50°
Atoms (fractional coordinates):
Sr: 0.0000 0.0000 0.0000
Sr: 0.3131 0.3131 0.0000
Sr: 0.6869 0.6869 0.0000
Ga: 0.0176 0.6677 0.3499
Ga: 0.1700 0.8854 0.2846
Ga: 0.3178 0.6677 0.6501
Ga: 0.3992 0.1146 0.2846
Ga: 0.5000 0.0000 0.5000
Ga: 0.6008 0.8854 0.7154
Ga: 0.6822 0.3323 0.3499
Ga: 0.8300 0.1146 0.7154
Ga: 0.9824 0.3323 0.6501
Ni: 0.2698 0.5000 0.7698
Ni: 0.7302 0.5000 0.2302

(18)
A plane-wave DFT calculation with GGA-PBE was carried out for an optimized crystal structure of Pr2SmTl3Se6.

Properties
The magnetization is 0.00 Bohr magnetons per cell. As for the uncorrected formation energy: -1378 meV/atom. Its space-group type is C2/m (12).

Cell: 7.5005 7.5005 8.1447 Å, 98.83 98.83 119.99°
Atoms (fractional coordinates):
Pr: 0.1666 0.8334 0.0000
Pr: 0.8334 0.1666 0.0000
Sm: 0.5000 0.5000 0.0000
Tl: 0.0000 0.0000 0.5000
Tl: 0.3327 0.6673 0.5000
Tl: 0.6673 0.3327 0.5000
Se: 0.1012 0.4297 0.7892
Se: 0.2421 0.2421 0.2119
Se: 0.4297 0.1012 0.7892
Se: 0.5703 0.8988 0.2108
Se: 0.7579 0.7579 0.7881
Se: 0.8988 0.5703 0.2108

(19)
A plane-wave DFT calculation with GGA-PBE was carried out for an optimized crystal structure of TcCl2O.

Properties
The magnetization is 0.00 Bohr magnetons per cell. As for the uncorrected formation energy: 689 meV/atom. For the polymorph energy (0 for the lowest one), the calculation gives 1.639 eV per atom. Its space-group type is I-42d (122).

Cell: 5.7939 5.7939 5.7939 Å, 116.86 116.86 95.54°
Atoms (fractional coordinates):
Tc: 0.0000 0.0000 0.0000
Tc: 0.7500 0.2500 0.5000
Cl: 0.1018 0.6250 0.9768
Cl: 0.3750 0.3518 0.4768
Cl: 0.6482 0.1250 0.0232
Cl: 0.8750 0.8982 0.5232
O: 0.2500 0.7500 0.5000
O: 0.5000 0.5000 0.0000

(20)
A plane-wave DFT calculation with GGA-PBE was carried out for an optimized crystal structure of AsIr3Se.

Properties
The magnetization is 0.32 Bohr magnetons per cell. As for the uncorrected formation energy: 1341 meV/atom. For the polymorph energy (0 for the lowest one), the calculation gives 0.066 eV per atom. Its space-group type is Pm-3m (221).

Cell: 4.6096 4.6096 4.6096 Å, 90.00 90.00 90.00°
Atoms (fractional coordinates):
As: 0.0000 0.0000 0.0000
Ir: 0.0000 0.5000 0.5000
Ir: 0.5000 0.0000 0.5000
Ir: 0.5000 0.5000 0.0000
Se: 0.5000 0.5000 0.5000

(21)
A plane-wave DFT calculation with GGA-PBE was carried out for an optimized crystal structure of La2Pm8Y3.

Properties
The magnetization is 0.00 Bohr magnetons per cell. Its space-group type is P-1 (2). For the formation energy, the calculation gives 0.174 eV per atom.

Cell: 5.4430 7.7653 11.1965 Å, 108.14 90.14 90.02°
Atoms (fractional coordinates):
La: 0.0059 0.1955 0.0193
La: 0.9941 0.8045 0.9807
Pm: 0.9997 0.0293 0.3298
Pm: 0.0003 0.9707 0.6702
Pm: 0.0035 0.4177 0.7632
Pm: 0.4955 0.7551 0.1229
Pm: 0.4993 0.7122 0.7495
Pm: 0.5007 0.2878 0.2505
Pm: 0.5045 0.2449 0.8771
Pm: 0.9965 0.5823 0.2368
Y: 0.0000 0.5000 0.5000
Y: 0.4991 0.7647 0.4397
Y: 0.5009 0.2353 0.5603

(22)
A plane-wave DFT calculation with GGA-PBE was carried out for an optimized crystal structure of Tb2Er3Sn2.

Properties
The magnetization is 0.00 Bohr magnetons per cell. Its space-group type is C2/m (12). For the formation energy, the calculation gives -0.452 eV per atom.

Cell: 6.2934 6.2934 8.4297 Å, 108.40 108.40 41.38°
Atoms (fractional coordinates):
Tb: 0.1335 0.1335 0.2847
Tb: 0.8665 0.8665 0.7153
Er: 0.3742 0.3742 0.0630
Er: 0.5000 0.5000 0.5000
Er: 0.6258 0.6258 0.9370
Sn: 0.1720 0.1720 0.6969
Sn: 0.8280 0.8280 0.3031

(23)
A plane-wave DFT calculation with GGA-PBE was carried out for an optimized crystal structure of KLiSi.

Properties
The magnetization is 0.00 Bohr magnetons per cell. As for the uncorrected formation energy: 155 meV/atom. For the polymorph energy (0 for the lowest one), the calculation gives 0.249 eV per atom. Its space-group type is Imm2 (44).

Cell: 6.3979 6.3979 6.3979 Å, 153.53 140.06 48.55°
Atoms (fractional coordinates):
K: 0.0000 0.0000 0.0000
Li: 0.7426 0.7426 0.0000
Si: 0.2909 0.2909 0.0000